Material: Ta4CoC2S
Method: DFT, PBE
State: optimized geometry

The calculation puts the volume at 13.4 Å³ per atom. For the raw total energy, the calculation gives -80.9 eV per formula unit.

It has space group P-6m2 (No. 187), with a = 3.1651 Å, b = 3.1651 Å, c = 12.3482 Å, α = 90.00°, β = 90.00° and γ = 120.00°. The distinct sites, in fractional coordinates, are Ta at (0.0000, 0.0000, 0.1471), Ta at (0.6667, 0.3333, 0.3471), Co at (0.0000, 0.0000, 0.5000), C at (0.3333, 0.6667, 0.2488) and S at (0.6667, 0.3333, 0.0000).


Material: Co3SbC
Method: DFT, PBE
State: optimized geometry

The calculation puts the volume at 11.7 Å³ per atom. For the raw total energy, the calculation gives -34.0 eV per formula unit.

It has space group Cmcm (No. 63), with a = 3.0575 Å, b = 10.2176 Å, c = 7.4870 Å, α = 90.00°, β = 90.00° and γ = 90.00°. The distinct sites, in fractional coordinates, are Co at (0.0000, 0.0457, 0.2500), Co at (0.0000, 0.3828, 0.0266), Sb at (0.0000, 0.2448, 0.7500) and C at (0.0000, 0.0000, 0.0000).


Material: Sc4CoSbC2
Method: DFT, PBE
State: optimized geometry

The calculation puts the volume at 16.6 Å³ per atom. For the raw total energy, the calculation gives -58.6 eV per formula unit.

It has space group P-6m2 (No. 187), with a = 3.3543 Å, b = 3.3543 Å, c = 13.6245 Å, α = 90.00°, β = 90.00° and γ = 120.00°. The distinct sites, in fractional coordinates, are Sc at (0.0000, 0.0000, 0.1394), Sc at (0.6667, 0.3333, 0.3190), Co at (0.6667, 0.3333, 0.0000), Sb at (0.0000, 0.0000, 0.5000) and C at (0.3333, 0.6667, 0.2348).


Material: CoSbW4C2
Method: DFT, PBE
State: optimized geometry

The calculation puts the volume at 13.9 Å³ per atom. For the raw total energy, the calculation gives -78.9 eV per formula unit.

It has space group P-6m2 (No. 187), with a = 3.1122 Å, b = 3.1122 Å, c = 13.2206 Å, α = 90.00°, β = 90.00° and γ = 120.00°. The distinct sites, in fractional coordinates, are Co at (0.0000, 0.0000, 0.0000), Sb at (0.6667, 0.3333, 0.5000), W at (0.0000, 0.0000, 0.3173), W at (0.6667, 0.3333, 0.1429) and C at (0.3333, 0.6667, 0.2339).